Record 1
! MgTaBr (PBE, relaxed); values from VASP
! Space-group type: F-43m (216)
! Total magnetic moment (μB/atom): 0.000
&SYSTEM
  ibrav = 0, nat = 3, ntyp = 3
/
ATOMIC_SPECIES
Mg 24.30 Mg.upf
Ta 180.95 Ta.upf
Br 79.90 Br.upf
ATOMIC_POSITIONS crystal
Mg 0.000 0.000 0.000
Ta 0.500 0.500 0.500
Br 0.750 0.750 0.750
CELL_PARAMETERS angstrom
0.000 3.157 3.157
3.157 0.000 3.157
3.157 3.157 0.000

Record 2
! MgTaBr3 (PBE, relaxed); values from VASP
! Space-group type: Pm-3m (221)
! Total magnetic moment (μB/atom): 0.000
&SYSTEM
  ibrav = 0, nat = 5, ntyp = 3
/
ATOMIC_SPECIES
Mg 24.30 Mg.upf
Ta 180.95 Ta.upf
Br 79.90 Br.upf
ATOMIC_POSITIONS crystal
Mg 0.000 0.000 0.000
Ta 0.500 0.500 0.500
Br 0.000 0.500 0.500
Br 0.500 0.000 0.500
Br 0.500 0.500 0.000
CELL_PARAMETERS angstrom
5.205 0.000 0.000
0.000 5.205 0.000
0.000 0.000 5.205

Energy relative to the elements, uncorrected values (in eV per atom) by entry order: 1.083, -0.025.
Offset from the most stable computed form values (in eV per formula unit) by entry order: 3.21, 0.00.
Mass density values (in g/cm³) by entry order: 7.52, 5.24.